An optimized crystal structure of La2TbAg2Sn2. Source: the Alexandria database, functional PBE.

Values from the calculation:
- Crystal system: trigonal
- DFT formation energy: -43 kJ per mole of atoms
- Space-group type: R-3m

abc: 4.8321 4.8321 9.8884
angles: 75.86 75.86 60.00
Atoms (fractional coordinates):
La  0.1279  0.1279  0.6163
La  0.8721  0.8721  0.3837
Tb  0.0000  0.0000  0.0000
Ag  0.6101  0.6101  0.1697
Ag  0.3899  0.3899  0.8303
Sn  0.7337  0.7337  0.7988
Sn  0.2663  0.2663  0.2012